Density functional theory data (PBE) for a relaxed structure of Pm3Pr2Dy8.

Values from the calculation:
For the raw total energy, the calculation gives -4.436 eV per atom. The energy relative to the lowest polymorph listed for this composition is 0.0 kJ/mol of formula units. The formation energy from the elements is 0.2273 eV/atom. The space group is C2/m. The total moment is 0.0 μB/f.u.

a = 6.9799 Å, b = 9.5554 Å, c = 9.5554 Å
α = 57.67°, β = 61.08°, γ = 61.08°
Positions (direct):
Pm (0.0000, 0.8242, 0.1758)
Pm (0.0000, 0.1758, 0.8242)
Pm (0.5000, 0.0000, 0.0000)
Dy (0.0092, 0.1918, 0.1918)
Dy (0.4341, 0.8007, 0.4377)
Dy (0.9273, 0.4201, 0.4201)
Dy (0.9908, 0.8082, 0.8082)
Dy (0.4341, 0.4377, 0.8007)
Dy (0.0727, 0.5799, 0.5799)
Dy (0.5659, 0.5623, 0.1993)
Dy (0.5659, 0.1993, 0.5623)
Pr (0.5223, 0.7793, 0.7793)
Pr (0.4777, 0.2207, 0.2207)